Entry 1:
Below is a geometry-optimized SnGeOs structure, with properties calculated at the PBE level.

Results
The calculated formation energy is 0.36 eV/atom. The value obtained for the density of states at the Fermi level is 1.8 states/eV per cell. As for the space-group type: No. 47.

Unit cell a=5.456 b=3.958 c=3.019 alpha=90.00 beta=90.00 gamma=90.00
Sites, in units of the cell vectors:
1 Sn 0.000 0.500 0.500
2 Ge 0.500 0.000 0.000
3 Os 0.500 0.500 0.500



Entry 2:
Below is a geometry-optimized Sn3GeOs structure, with properties calculated at the PBE level.

Results
The calculated formation energy is 0.49 eV/atom. The value obtained for the density of states at the Fermi level is 5.1 states/eV per cell. Its energy above the most stable polymorph in this dataset is 0.000 eV/atom. As for the space-group type: No. 221.

Unit cell a=5.150 b=5.150 c=5.150 alpha=90.00 beta=90.00 gamma=90.00
Sites, in units of the cell vectors:
1 Ge 0.500 0.500 0.500
2 Sn 0.000 0.000 0.500
3 Sn 0.500 0.000 0.000
4 Os 0.000 0.000 0.000
5 Sn 0.000 0.500 0.000



Entry 3:
Below is a geometry-optimized SnGeOs structure, with properties calculated at the PBE level.

Results
The calculated formation energy is 0.18 eV/atom. The value obtained for the density of states at the Fermi level is 4.9 states/eV per cell. As for the space-group type: No. 160.

Unit cell a=4.090 b=4.090 c=13.018 alpha=90.00 beta=90.00 gamma=120.00
Sites, in units of the cell vectors:
1 Sn 0.333 0.667 0.822
2 Os 0.333 0.667 0.031
3 Sn 0.000 0.000 0.156
4 Ge 0.000 0.000 0.656
5 Os 0.667 0.333 0.697
6 Os 0.000 0.000 0.364
7 Sn 0.667 0.333 0.489
8 Ge 0.333 0.667 0.322
9 Ge 0.667 0.333 0.989



Entry 4:
Below is a geometry-optimized SnGe2Os structure, with properties calculated at the PBE level.

Results
The calculated formation energy is 0.16 eV/atom. The value obtained for the density of states at the Fermi level is 0.9 states/eV per cell. As for the space-group type: No. 166.

Unit cell a=3.124 b=3.124 c=9.711 alpha=80.74 beta=80.74 gamma=60.00
Sites, in units of the cell vectors:
1 Os 0.500 0.500 0.500
2 Ge 0.103 0.103 0.691
3 Sn 0.000 0.000 0.000
4 Ge 0.897 0.897 0.309



Entry 5:
Below is a geometry-optimized Sn2GeOs structure, with properties calculated at the PBE level.

Results
The calculated formation energy is 0.72 eV/atom. The value obtained for the density of states at the Fermi level is 0.2 states/eV per cell. As for the space-group type: No. 122.

Unit cell a=6.082 b=6.082 c=7.577 alpha=66.34 beta=66.34 gamma=90.00
Sites, in units of the cell vectors:
1 Sn 0.875 0.895 0.750
2 Os 0.000 0.000 0.000
3 Sn 0.105 0.625 0.250
4 Sn 0.375 0.355 0.750
5 Ge 0.250 0.750 0.500
6 Sn 0.645 0.125 0.250
7 Os 0.750 0.250 0.500
8 Ge 0.500 0.500 0.000



Entry 6:
Below is a geometry-optimized SnGeOs structure, with properties calculated at the PBE level.

Results
The calculated formation energy is 0.30 eV/atom. The value obtained for the density of states at the Fermi level is 1.8 states/eV per cell. As for the space-group type: No. 6.

Unit cell a=3.108 b=3.894 c=5.194 alpha=90.00 beta=107.71 gamma=90.00
Sites, in units of the cell vectors:
1 Os 0.788 0.500 0.794
2 Sn 0.060 0.500 0.349
3 Ge 0.351 0.000 0.916



Entry 7:
Below is a geometry-optimized SnGe3Os structure, with properties calculated at the PBE level.

Results
The calculated formation energy is 0.40 eV/atom. The value obtained for the density of states at the Fermi level is 5.6 states/eV per cell. Its energy above the most stable polymorph in this dataset is 0.000 eV/atom. As for the space-group type: No. 221.

Unit cell a=4.855 b=4.855 c=4.855 alpha=90.00 beta=90.00 gamma=90.00
Sites, in units of the cell vectors:
1 Sn 0.500 0.500 0.500
2 Ge 0.500 0.000 0.000
3 Ge 0.000 0.000 0.500
4 Os 0.000 0.000 0.000
5 Ge 0.000 0.500 0.000



Entry 8:
Below is a geometry-optimized SnGeOs structure, with properties calculated at the PBE level.

Results
The calculated formation energy is 0.26 eV/atom. The value obtained for the density of states at the Fermi level is 3.9 states/eV per cell. As for the space-group type: No. 38.

Unit cell a=4.482 b=3.143 c=8.886 alpha=90.00 beta=90.00 gamma=90.00
Sites, in units of the cell vectors:
1 Ge 0.000 0.500 0.492
2 Os 0.000 0.500 0.776
3 Ge 0.000 0.000 0.992
4 Sn 0.500 0.000 0.732
5 Sn 0.500 0.500 0.232
6 Os 0.000 0.000 0.276



Entry 9:
Below is a geometry-optimized Sn2Ge2Os structure, with properties calculated at the PBE level.

Results
The calculated formation energy is 0.50 eV/atom. The value obtained for the density of states at the Fermi level is 3.5 states/eV per cell. Its energy above the most stable polymorph in this dataset is 0.000 eV/atom. As for the space-group type: No. 139.

Unit cell a=3.461 b=3.461 c=9.092 alpha=79.03 beta=79.03 gamma=90.00
Sites, in units of the cell vectors:
1 Ge 0.250 0.750 0.500
2 Os 0.000 0.000 0.000
3 Sn 0.590 0.590 0.821
4 Ge 0.750 0.250 0.500
5 Sn 0.410 0.410 0.179



Entry 10:
Below is a geometry-optimized TaSnGeOs2 structure, with properties calculated at the PBE level.

Results
The calculated formation energy is 2.32 eV/atom. The value obtained for the density of states at the Fermi level is 5.7 states/eV per cell. As for the space-group type: No. 123.

Unit cell a=4.795 b=4.874 c=4.795 alpha=90.00 beta=90.00 gamma=90.00
Sites, in units of the cell vectors:
1 Ge 0.000 0.500 0.000
2 Ta 0.500 0.500 0.500
3 Os 0.500 0.000 0.000
4 Sn 0.000 0.000 0.000
5 Os 0.000 0.000 0.500



Entry 11:
Below is a geometry-optimized SnGe2OsW structure, with properties calculated at the PBE level.

Results
The calculated formation energy is 2.33 eV/atom. The value obtained for the density of states at the Fermi level is 4.7 states/eV per cell. As for the space-group type: No. 123.

Unit cell a=5.019 b=4.913 c=5.019 alpha=90.00 beta=90.00 gamma=90.00
Sites, in units of the cell vectors:
1 Ge 0.000 0.000 0.500
2 Sn 0.000 0.000 0.000
3 W 0.500 0.500 0.500
4 Ge 0.500 0.000 0.000
5 Os 0.000 0.500 0.000



Entry 12:
Below is a geometry-optimized Sr2GeOs2 structure, with properties calculated at the PBE level.

Results
The calculated formation energy is 0.22 eV/atom. The value obtained for the density of states at the Fermi level is 9.7 states/eV per cell. As for the space-group type: No. 127.

Unit cell a=6.699 b=6.699 c=5.069 alpha=90.00 beta=90.00 gamma=90.00
Sites, in units of the cell vectors:
1 Sr 0.676 0.824 0.500
2 Os 0.127 0.373 0.000
3 Ge 0.000 0.000 0.000
4 Os 0.373 0.873 0.000
5 Os 0.873 0.627 0.000
6 Sr 0.324 0.176 0.500
7 Sr 0.176 0.676 0.500
8 Os 0.627 0.127 0.000
9 Ge 0.500 0.500 0.000
10 Sr 0.824 0.324 0.500



Entry 13:
Below is a geometry-optimized SrGeOs2 structure, with properties calculated at the PBE level.

Results
The calculated formation energy is 1.02 eV/atom. The value obtained for the density of states at the Fermi level is 6.1 states/eV per cell. Its energy above the most stable polymorph in this dataset is 0.566 eV/atom. As for the space-group type: No. 225.

Unit cell a=4.632 b=4.632 c=4.632 alpha=60.00 beta=60.00 gamma=60.00
Sites, in units of the cell vectors:
1 Os 0.750 0.750 0.750
2 Ge 0.000 0.000 0.000
3 Sr 0.500 0.500 0.500
4 Os 0.250 0.250 0.250



In the order shown, the computed VASP energy values come out to -18.76, -25.41, -57.96, -23.84, -41.93, -18.95, -27.08, -38.16, -25.99, -31.32, -25.79, -58.69, -24.69 eV for the cell shown.